## Np3Si4Pt7 (PBE-GGA)

Data for a geometry-optimized Np3Si4Pt7 structure.

- Calculated total energy: -8.05 eV/atom
- M_tot: 11.39 μB/f.u.
- Energy relative to the elements, uncorrected: -0.710 eV per atom

a = 4.012 Å, b = 8.060 Å, c = 8.347 Å
α = 71.54°, β = 76.10°, γ = 75.59°
Each line ends with the local moment (μB).
Atoms (fractional coordinates):
Np 0.327 0.175 0.171  3.51
Np 0.000 0.500 0.500  3.82
Np 0.673 0.825 0.829  3.51
Pt 0.491 0.245 0.773  -0.01
Pt 0.000 0.000 0.000  -0.03
Pt 0.693 0.152 0.461  -0.03
Pt 0.831 0.417 0.921  0.03
Pt 0.307 0.848 0.539  -0.03
Pt 0.169 0.583 0.079  0.03
Pt 0.509 0.755 0.227  -0.01
Si 0.889 0.893 0.329  -0.01
Si 0.666 0.435 0.233  0.00
Si 0.111 0.107 0.671  -0.01
Si 0.334 0.565 0.767  0.00

---

## Np4Si8Pt (PBE-GGA)

Data for a geometry-optimized Np4Si8Pt structure.

- Calculated total energy: -7.99 eV/atom
- M_tot: 6.31 μB/f.u.
- Energy relative to the elements, uncorrected: -0.209 eV per atom

a = 3.884 Å, b = 4.110 Å, c = 15.197 Å
α = 90.00°, β = 90.00°, γ = 90.00°
Each line ends with the local moment (μB).
Atoms (fractional coordinates):
Si 0.000 0.500 0.224  -0.03
Si 0.000 0.000 0.473  0.01
Si 0.000 0.500 0.938  -0.05
Si 0.000 0.000 0.756  -0.03
Si 0.500 0.000 0.221  -0.02
Si 0.500 0.500 0.760  -0.02
Si 0.500 0.000 0.569  -0.02
Si 0.500 0.500 0.043  -0.05
Pt 0.000 0.000 0.313  -0.01
Np 0.000 0.000 0.086  3.30
Np 0.500 0.500 0.406  -3.68
Np 0.000 0.500 0.615  3.35
Np 0.500 0.000 0.900  3.25

---

## Np2Si2Pt3 (PBE-GGA)

Data for a geometry-optimized Np2Si2Pt3 structure.

- Calculated total energy: -8.48 eV/atom
- M_tot: 0.02 μB/f.u.
- Energy relative to the elements, uncorrected: -0.648 eV per atom

a = 3.486 Å, b = 5.879 Å, c = 7.237 Å
α = 120.79°, β = 90.00°, γ = 107.25°
Atoms (fractional coordinates):
Np 0.819 0.638 0.131
Np 0.181 0.362 0.869
Pt 0.500 0.000 0.000
Pt 0.402 0.804 0.559
Pt 0.598 0.196 0.441
Si 0.845 0.690 0.740
Si 0.155 0.310 0.260

---

## Np3Si2Pt5 (PBE-GGA)

Data for a geometry-optimized Np3Si2Pt5 structure.

- Calculated total energy: -8.48 eV/atom
- M_tot: 11.38 μB/f.u.
- Energy relative to the elements, uncorrected: -0.491 eV per atom

a = 5.685 Å, b = 8.906 Å, c = 8.906 Å
α = 63.81°, β = 71.39°, γ = 71.39°
Each line ends with the local moment (μB).
Atoms (fractional coordinates):
Np 0.250 0.000 0.000  3.70
Np 0.633 0.626 0.107  3.68
Np 0.867 0.893 0.374  3.68
Np 0.750 0.000 0.000  3.70
Np 0.367 0.374 0.893  3.68
Np 0.133 0.107 0.626  3.68
Pt 0.585 0.195 0.634  -0.04
Pt 0.053 0.697 0.697  -0.02
Pt 0.085 0.634 0.195  -0.04
Pt 0.915 0.366 0.805  -0.04
Pt 0.553 0.697 0.697  -0.02
Pt 0.947 0.303 0.303  -0.02
Pt 0.750 0.500 0.500  -0.04
Pt 0.447 0.303 0.303  -0.02
Pt 0.250 0.500 0.500  -0.04
Pt 0.415 0.805 0.366  -0.04
Si 0.173 0.757 0.896  -0.04
Si 0.827 0.243 0.104  -0.04
Si 0.327 0.104 0.243  -0.04
Si 0.673 0.896 0.757  -0.04

---

## Np2SiPt3 (PBE-GGA)

Data for a geometry-optimized Np2SiPt3 structure.

- Calculated total energy: -8.92 eV/atom
- M_tot: 7.51 μB/f.u.
- Energy relative to the elements, uncorrected: -0.685 eV per atom

a = 5.553 Å, b = 5.553 Å, c = 8.104 Å
α = 90.00°, β = 90.00°, γ = 120.00°
Each line ends with the local moment (μB).
Atoms (fractional coordinates):
Pt 0.169 0.831 0.250  -0.03
Pt 0.831 0.663 0.750  -0.03
Pt 0.663 0.831 0.250  -0.03
Pt 0.337 0.169 0.750  -0.03
Pt 0.169 0.337 0.250  -0.03
Pt 0.831 0.169 0.750  -0.03
Np 0.333 0.667 0.578  3.69
Np 0.667 0.333 0.422  3.69
Np 0.667 0.333 0.078  3.69
Np 0.333 0.667 0.922  3.69
Si 0.000 0.000 0.500  -0.05
Si 0.000 0.000 0.000  -0.05

---

## NpSi4Pt4 (PBE-GGA)

Data for a geometry-optimized NpSi4Pt4 structure.

- Calculated total energy: -7.09 eV/atom
- M_tot: 3.88 μB/f.u.
- Energy relative to the elements, uncorrected: -0.555 eV per atom

a = 5.965 Å, b = 5.965 Å, c = 8.460 Å
α = 90.00°, β = 90.00°, γ = 90.00°
Each line ends with the local moment (μB).
Atoms (fractional coordinates):
Np 0.500 0.500 0.500  3.88
Np 0.000 0.000 0.000  3.88
Si 0.786 0.500 0.103  -0.01
Si 0.214 0.500 0.103  -0.01
Si 0.286 0.000 0.397  -0.01
Si 0.000 0.286 0.603  -0.01
Si 0.500 0.786 0.897  -0.01
Si 0.000 0.714 0.603  -0.01
Si 0.500 0.214 0.897  -0.01
Si 0.714 0.000 0.397  -0.01
Pt 0.272 0.000 0.684  -0.02
Pt 0.772 0.500 0.816  -0.02
Pt 0.500 0.228 0.184  -0.02
Pt 0.000 0.728 0.316  -0.02
Pt 0.228 0.500 0.816  -0.02
Pt 0.000 0.272 0.316  -0.02
Pt 0.500 0.772 0.184  -0.02
Pt 0.728 0.000 0.684  -0.02

---

> The highest M_tot belongs to which entry?

Np3Si4Pt7